Entry 1:
Here is a relaxed Sr2SeBr crystal from the Alexandria database. Energies are from PBE.

Output
- ΔE to the lowest computed polymorph (meV per atom) = 219.9
- energy relative to the elements, uncorrected (eV per atom) = -1.511
- crystal system = cubic
- magnetic moment (Bohr magnetons per cell) = 0.000

CIF file:
```
data_Sr2SeBr
_cell_length_a 5.446
_cell_length_b 5.446
_cell_length_c 5.446
_cell_angle_alpha 60.00
_cell_angle_beta 60.00
_cell_angle_gamma 60.00
_symmetry_space_group_name_H-M 'P 1'
_symmetry_Int_Tables_number 1
_symmetry_space_group_name_Hall 'P 1'
loop_
_atom_site_label
_atom_site_type_symbol
_atom_site_fract_x
_atom_site_fract_y
_atom_site_fract_z
Sr1 Sr 0.250 0.250 0.250
Sr2 Sr 0.750 0.750 0.750
Se1 Se 0.000 0.000 0.000
Br1 Br 0.500 0.500 0.500
```

Entry 2:
Here is a relaxed SrSe2Br crystal from the Alexandria database. Energies are from PBE.

Output
- ΔE to the lowest computed polymorph (meV per atom) = 0.0
- energy relative to the elements, uncorrected (eV per atom) = -1.167
- crystal system = monoclinic
- magnetic moment (Bohr magnetons per cell) = 0.000

CIF file:
```
data_SrSe2Br
_cell_length_a 4.482
_cell_length_b 5.950
_cell_length_c 4.823
_cell_angle_alpha 90.00
_cell_angle_beta 96.95
_cell_angle_gamma 90.00
_symmetry_space_group_name_H-M 'P 1'
_symmetry_Int_Tables_number 1
_symmetry_space_group_name_Hall 'P 1'
loop_
_atom_site_label
_atom_site_type_symbol
_atom_site_fract_x
_atom_site_fract_y
_atom_site_fract_z
Sr1 Sr 0.000 0.000 0.000
Se1 Se 0.209 0.500 0.867
Se2 Se 0.791 0.500 0.133
Br1 Br 0.500 0.000 0.500
```

Entry 3:
Here is a relaxed SrSe4Br crystal from the Alexandria database. Energies are from PBE.

Output
- energy relative to the elements, uncorrected (eV per atom) = -0.406
- crystal system = cubic
- magnetic moment (Bohr magnetons per cell) = 0.000

CIF file:
```
data_SrSe4Br
_cell_length_a 5.901
_cell_length_b 5.901
_cell_length_c 5.901
_cell_angle_alpha 60.00
_cell_angle_beta 60.00
_cell_angle_gamma 60.00
_symmetry_space_group_name_H-M 'P 1'
_symmetry_Int_Tables_number 1
_symmetry_space_group_name_Hall 'P 1'
loop_
_atom_site_label
_atom_site_type_symbol
_atom_site_fract_x
_atom_site_fract_y
_atom_site_fract_z
Sr1 Sr 0.000 0.000 0.000
Se1 Se 0.375 0.375 0.375
Se2 Se 0.375 0.375 0.874
Se3 Se 0.375 0.874 0.375
Se4 Se 0.874 0.375 0.375
Br1 Br 0.750 0.750 0.750
```

Entry 4:
Here is a relaxed Sr2SeBr crystal from the Alexandria database. Energies are from PBE.

Output
- ΔE to the lowest computed polymorph (meV per atom) = 20.1
- energy relative to the elements, uncorrected (eV per atom) = -1.711
- crystal system = trigonal
- magnetic moment (Bohr magnetons per cell) = 0.793

CIF file:
```
data_Sr2SeBr
_cell_length_a 8.354
_cell_length_b 8.354
_cell_length_c 8.354
_cell_angle_alpha 30.56
_cell_angle_beta 30.56
_cell_angle_gamma 30.56
_symmetry_space_group_name_H-M 'P 1'
_symmetry_Int_Tables_number 1
_symmetry_space_group_name_Hall 'P 1'
loop_
_atom_site_label
_atom_site_type_symbol
_atom_site_fract_x
_atom_site_fract_y
_atom_site_fract_z
Sr1 Sr 0.000 0.000 0.000
Sr2 Sr 0.188 0.188 0.188
Se1 Se 0.598 0.598 0.598
Br1 Br 0.421 0.421 0.421
```

Entry 5:
Here is a relaxed Sr2SeBr crystal from the Alexandria database. Energies are from PBE.

Output
- ΔE to the lowest computed polymorph (meV per atom) = 242.6
- energy relative to the elements, uncorrected (eV per atom) = -1.488
- crystal system = orthorhombic
- magnetic moment (Bohr magnetons per cell) = 0.000

CIF file:
```
data_Sr2SeBr
_cell_length_a 3.912
_cell_length_b 5.409
_cell_length_c 5.432
_cell_angle_alpha 90.00
_cell_angle_beta 90.00
_cell_angle_gamma 90.00
_symmetry_space_group_name_H-M 'P 1'
_symmetry_Int_Tables_number 1
_symmetry_space_group_name_Hall 'P 1'
loop_
_atom_site_label
_atom_site_type_symbol
_atom_site_fract_x
_atom_site_fract_y
_atom_site_fract_z
Sr1 Sr 0.000 0.000 0.000
Sr2 Sr 0.000 0.500 0.500
Se1 Se 0.500 0.000 0.500
Br1 Br 0.500 0.500 0.000
```

Entry 6:
Here is a relaxed Sr2Se2Br crystal from the Alexandria database. Energies are from PBE.

Output
- ΔE to the lowest computed polymorph (meV per atom) = 127.1
- energy relative to the elements, uncorrected (eV per atom) = -1.555
- crystal system = tetragonal
- magnetic moment (Bohr magnetons per cell) = 0.000

CIF file:
```
data_Sr2Se2Br
_cell_length_a 6.456
_cell_length_b 6.456
_cell_length_c 6.456
_cell_angle_alpha 126.98
_cell_angle_beta 126.98
_cell_angle_gamma 78.29
_symmetry_space_group_name_H-M 'P 1'
_symmetry_Int_Tables_number 1
_symmetry_space_group_name_Hall 'P 1'
loop_
_atom_site_label
_atom_site_type_symbol
_atom_site_fract_x
_atom_site_fract_y
_atom_site_fract_z
Sr1 Sr 0.250 0.750 0.500
Sr2 Sr 0.750 0.250 0.500
Se1 Se 0.147 0.147 0.000
Se2 Se 0.853 0.853 0.000
Br1 Br 0.500 0.500 0.000
```

Entry 7:
Here is a relaxed SrSeBr3 crystal from the Alexandria database. Energies are from PBE.

Output
- ΔE to the lowest computed polymorph (meV per atom) = 19.9
- energy relative to the elements, uncorrected (eV per atom) = -0.674
- crystal system = cubic
- magnetic moment (Bohr magnetons per cell) = 0.000

CIF file:
```
data_SrSeBr3
_cell_length_a 5.546
_cell_length_b 5.546
_cell_length_c 5.546
_cell_angle_alpha 90.00
_cell_angle_beta 90.00
_cell_angle_gamma 90.00
_symmetry_space_group_name_H-M 'P 1'
_symmetry_Int_Tables_number 1
_symmetry_space_group_name_Hall 'P 1'
loop_
_atom_site_label
_atom_site_type_symbol
_atom_site_fract_x
_atom_site_fract_y
_atom_site_fract_z
Sr1 Sr 0.000 0.000 0.000
Se1 Se 0.500 0.500 0.500
Br1 Br 0.000 0.500 0.500
Br2 Br 0.500 0.000 0.500
Br3 Br 0.500 0.500 0.000
```

Entry 8:
Here is a relaxed SrSe2Br crystal from the Alexandria database. Energies are from PBE.

Output
- ΔE to the lowest computed polymorph (meV per atom) = 466.3
- energy relative to the elements, uncorrected (eV per atom) = -0.700
- crystal system = tetragonal
- magnetic moment (Bohr magnetons per cell) = 0.000

CIF file:
```
data_SrSe2Br
_cell_length_a 6.459
_cell_length_b 6.459
_cell_length_c 6.459
_cell_angle_alpha 140.74
_cell_angle_beta 140.74
_cell_angle_gamma 56.73
_symmetry_space_group_name_H-M 'P 1'
_symmetry_Int_Tables_number 1
_symmetry_space_group_name_Hall 'P 1'
loop_
_atom_site_label
_atom_site_type_symbol
_atom_site_fract_x
_atom_site_fract_y
_atom_site_fract_z
Sr1 Sr 0.000 0.000 0.000
Se1 Se 0.500 0.500 0.000
Se2 Se 0.750 0.250 0.500
Br1 Br 0.250 0.750 0.500
```

Entry 9:
Here is a relaxed Sr4SeBr6 crystal from the Alexandria database. Energies are from PBE.

Output
- energy relative to the elements, uncorrected (eV per atom) = -2.084
- crystal system = tetragonal
- magnetic moment (Bohr magnetons per cell) = 0.353

CIF file:
```
data_Sr4SeBr6
_cell_length_a 10.350
_cell_length_b 10.350
_cell_length_c 7.409
_cell_angle_alpha 90.00
_cell_angle_beta 90.00
_cell_angle_gamma 90.00
_symmetry_space_group_name_H-M 'P 1'
_symmetry_Int_Tables_number 1
_symmetry_space_group_name_Hall 'P 1'
loop_
_atom_site_label
_atom_site_type_symbol
_atom_site_fract_x
_atom_site_fract_y
_atom_site_fract_z
Sr1 Sr 0.006 0.250 0.061
Sr2 Sr 0.250 0.006 0.561
Sr3 Sr 0.250 0.494 0.561
Sr4 Sr 0.494 0.250 0.061
Sr5 Sr 0.506 0.750 0.939
Sr6 Sr 0.750 0.506 0.439
Sr7 Sr 0.750 0.994 0.439
Sr8 Sr 0.994 0.750 0.939
Se1 Se 0.250 0.750 0.750
Se2 Se 0.750 0.250 0.250
Br1 Br 0.038 0.538 0.250
Br2 Br 0.038 0.962 0.250
Br3 Br 0.250 0.250 0.317
Br4 Br 0.250 0.250 0.817
Br5 Br 0.462 0.538 0.250
Br6 Br 0.462 0.962 0.250
Br7 Br 0.538 0.038 0.750
Br8 Br 0.538 0.462 0.750
Br9 Br 0.750 0.750 0.183
Br10 Br 0.750 0.750 0.683
Br11 Br 0.962 0.038 0.750
Br12 Br 0.962 0.462 0.750
```

Entry 10:
Here is a relaxed Sr2SeBr crystal from the Alexandria database. Energies are from PBE.

Output
- ΔE to the lowest computed polymorph (meV per atom) = 232.0
- energy relative to the elements, uncorrected (eV per atom) = -1.499
- crystal system = orthorhombic
- magnetic moment (Bohr magnetons per cell) = 0.000

CIF file:
```
data_Sr2SeBr
_cell_length_a 5.932
_cell_length_b 5.932
_cell_length_c 5.932
_cell_angle_alpha 135.09
_cell_angle_beta 109.66
_cell_angle_gamma 87.44
_symmetry_space_group_name_H-M 'P 1'
_symmetry_Int_Tables_number 1
_symmetry_space_group_name_Hall 'P 1'
loop_
_atom_site_label
_atom_site_type_symbol
_atom_site_fract_x
_atom_site_fract_y
_atom_site_fract_z
Sr1 Sr 0.241 0.241 0.000
Sr2 Sr 0.759 0.759 0.000
Se1 Se 0.000 0.500 0.500
Br1 Br 0.500 0.000 0.500
```

Entry 11:
Here is a relaxed SrSe2Br crystal from the Alexandria database. Energies are from PBE.

Output
- ΔE to the lowest computed polymorph (meV per atom) = 164.1
- energy relative to the elements, uncorrected (eV per atom) = -1.003
- crystal system = tetragonal
- magnetic moment (Bohr magnetons per cell) = 0.440

CIF file:
```
data_SrSe2Br
_cell_length_a 4.407
_cell_length_b 4.407
_cell_length_c 6.258
_cell_angle_alpha 90.00
_cell_angle_beta 90.00
_cell_angle_gamma 90.00
_symmetry_space_group_name_H-M 'P 1'
_symmetry_Int_Tables_number 1
_symmetry_space_group_name_Hall 'P 1'
loop_
_atom_site_label
_atom_site_type_symbol
_atom_site_fract_x
_atom_site_fract_y
_atom_site_fract_z
Sr1 Sr 0.000 0.000 0.000
Se1 Se 0.500 0.500 0.189
Se2 Se 0.500 0.500 0.811
Br1 Br 0.000 0.000 0.500
```

Entry 12:
Here is a relaxed Sr2SeBr crystal from the Alexandria database. Energies are from PBE.

Output
- ΔE to the lowest computed polymorph (meV per atom) = 974.2
- energy relative to the elements, uncorrected (eV per atom) = -0.756
- crystal system = cubic
- magnetic moment (Bohr magnetons per cell) = 0.720

CIF file:
```
data_Sr2SeBr
_cell_length_a 5.609
_cell_length_b 5.609
_cell_length_c 5.609
_cell_angle_alpha 60.00
_cell_angle_beta 60.00
_cell_angle_gamma 60.00
_symmetry_space_group_name_H-M 'P 1'
_symmetry_Int_Tables_number 1
_symmetry_space_group_name_Hall 'P 1'
loop_
_atom_site_label
_atom_site_type_symbol
_atom_site_fract_x
_atom_site_fract_y
_atom_site_fract_z
Sr1 Sr 0.000 0.000 0.000
Sr2 Sr 0.250 0.250 0.250
Se1 Se 0.750 0.750 0.750
Br1 Br 0.500 0.500 0.500
```

no.,final energy (eV/atom),calculated density (g/cm3)
1,-3.64,4.858
2,-3.75,4.233
3,-3.29,5.525
4,-3.84,4.153
5,-3.62,4.826
6,-3.96,4.124
7,-2.71,3.956
8,-3.28,5.050
9,-3.92,3.803
10,-3.63,4.178
11,-3.58,4.446
12,-2.89,4.446